Computed, not measured: a relaxed structure of Li2MgH6Ir at the PBE-GGA level of DFT.

Computed properties:
Total magnetization: 0.001 Bohr magnetons per cell
Electronic total energy: -36.86 eV per formula unit

Cell: 5.0356 5.0356 5.0356 Å, 60.00 60.00 60.00°
Positions (direct):
Li1 0.2500 0.2500 0.2500
Li2 0.7500 0.7500 0.7500
Mg1 0.0000 0.0000 0.0000
H1 0.2639 0.2639 0.7361
H2 0.2639 0.7361 0.2639
H3 0.2639 0.7361 0.7361
H4 0.7361 0.2639 0.2639
H5 0.7361 0.2639 0.7361
H6 0.7361 0.7361 0.2639
Ir1 0.5000 0.5000 0.5000